--- 1 ---
Compound: InPt4
Source: Alexandria via LeMat-Bulk
Functional: PBE-GGA
Structure: optimized geometry

SG   No. 229
DOS(E_F)   4.264 states/eV/f.u.

Cell lengths 5.128, 5.128, 5.128 Å; angles 109.47, 109.47, 109.47 degrees
Atoms (fractional coordinates):
Pt1 0.000 0.500 0.000
Pt2 0.500 0.000 0.000
Pt3 0.000 0.000 0.500
Pt4 0.500 0.500 0.500
In1 0.000 0.000 0.000



--- 2 ---
Compound: InPt4
Source: Alexandria via LeMat-Bulk
Functional: PBE-GGA
Structure: optimized geometry

SG   No. 74
DOS(E_F)   3.879 states/eV/f.u.

Cell lengths 4.229, 5.619, 7.864 Å; angles 110.93, 105.60, 90.00 degrees
Atoms (fractional coordinates):
Pt1 0.693 0.200 0.386
In1 0.105 0.855 0.210
Pt2 0.899 0.649 0.797
Pt3 0.500 0.000 0.000
Pt4 0.101 0.351 0.203
Pt5 0.307 0.314 0.614
Pt6 0.693 0.686 0.386
Pt7 0.500 0.500 0.000
In2 0.895 0.145 0.790
Pt8 0.307 0.800 0.614



Which of them is the least stable? Correct choice: 1.



--- 1 ---
Compound: In3Pt4
Source: Alexandria via LeMat-Bulk
Functional: PBE-GGA
Structure: optimized geometry

SG   No. 1
DOS(E_F)   2.225 states/eV/f.u.

Cell lengths 7.202, 7.215, 8.963 Å; angles 108.04, 108.20, 103.29 degrees
Atoms (fractional coordinates):
In1 0.065 0.822 0.308
Pt1 0.291 0.552 0.834
Pt2 0.207 0.929 0.658
Pt3 0.251 0.248 0.997
Pt4 0.506 0.001 0.998
In2 0.965 0.196 0.137
Pt5 0.758 0.754 0.495
Pt6 0.498 0.002 0.495
Pt7 0.749 0.757 0.999
Pt8 0.713 0.465 0.657
Pt9 0.244 0.261 0.500
Pt10 0.787 0.044 0.329
In3 0.502 0.738 0.670
In4 0.438 0.684 0.188
Pt11 0.729 0.454 0.182
In5 0.540 0.294 0.832
In6 0.996 0.495 0.502
In7 0.942 0.181 0.689
In8 0.478 0.252 0.307
In9 0.060 0.824 0.883
Pt12 0.000 0.502 0.001



--- 2 ---
Compound: In3Pt4
Source: Alexandria via LeMat-Bulk
Functional: PBE-GGA
Structure: optimized geometry

SG   No. 139
DOS(E_F)   3.625 states/eV/f.u.

Cell lengths 10.327, 10.327, 10.327 Å; angles 160.00, 160.00, 28.43 degrees
Atoms (fractional coordinates):
Pt1 0.850 0.850 0.000
In1 0.704 0.704 0.000
In2 0.296 0.296 0.000
Pt2 0.432 0.432 0.000
Pt3 0.568 0.568 0.000
Pt4 0.150 0.150 0.000
In3 0.000 0.000 0.000



Which of them is the least stable? Correct choice: 2.



--- 1 ---
Compound: RbInPt
Source: Alexandria via LeMat-Bulk
Functional: PBE-GGA
Structure: optimized geometry

SG   No. 71
DOS(E_F)   1.064 states/eV/f.u.

Cell lengths 4.953, 6.026, 7.074 Å; angles 115.21, 110.49, 90.00 degrees
Atoms (fractional coordinates):
In1 0.785 0.285 0.570
In2 0.215 0.715 0.430
Rb1 0.500 0.751 0.000
Rb2 0.500 0.249 0.000
Pt1 0.201 0.201 0.403
Pt2 0.799 0.799 0.597



--- 2 ---
Compound: RbInPt
Source: Alexandria via LeMat-Bulk
Functional: PBE-GGA
Structure: optimized geometry

SG   No. 187
DOS(E_F)   0.689 states/eV/f.u.

Cell lengths 5.532, 4.585, 4.585 Å; angles 120.00, 90.00, 90.00 degrees
Atoms (fractional coordinates):
Pt1 0.167 0.667 0.333
In1 0.167 0.000 0.000
Rb1 0.667 0.333 0.667



--- 3 ---
Compound: RbInPt
Source: Alexandria via LeMat-Bulk
Functional: PBE-GGA
Structure: optimized geometry

SG   No. 71
DOS(E_F)   0.874 states/eV/f.u.

Cell lengths 3.751, 8.236, 7.390 Å; angles 116.64, 120.52, 76.84 degrees
Atoms (fractional coordinates):
Rb1 0.439 0.653 0.945
Pt1 0.939 0.860 0.548
In1 0.685 0.052 0.891
In2 0.193 0.052 0.398
Pt2 0.939 0.244 0.740
Rb2 0.439 0.451 0.344



Which of them is the least stable? Correct choice: 1.